Compound: Li2LaMnO4
Source: the Alexandria database
Functional: GGA+U
Structure: relaxed

Lattice parameters (Å, degrees): 3.620 5.605 6.382 123.11 105.75 94.13
Fractional positions:
O  0.229  0.982  0.361
O  0.899  0.452  0.823
O  0.778  0.698  0.555
O  0.544  0.131  0.073
Mn  0.653  0.304  0.455
Li  0.985  0.924  0.960
Li  0.348  0.911  0.651
La  0.565  0.598  0.122

Properties
SG: P1
Calculated density, Mg/m³: 4.49
Total energy, Ry/atom: -0.4959